A plane-wave DFT calculation with PBE-GGA was carried out for a relaxed LaPrCuRu crystal.

Density of states at the Fermi level = 3.0 states/eV/f.u.
Magnetization = 0.0 μB/cell
Formation enthalpy at 0 K = -19 kJ/mol of atoms

Cell: 4.2447 4.0729 11.0936 Å, 90.00 90.00 90.00°
Closest atoms and distances in Å follow each position.
Space group Amm2 (No. 38)
Asymmetric unit:
La1 0.0000 0.0000 0.0000  4 Ru 3.01, 3 Cu 3.07-3.26
Pr1 0.5000 0.0000 0.2764  4 Cu 3.04, 3 Ru 3.14-3.15
Cu1 0.0000 0.0000 0.7065  2 Ru 2.68
Ru1 0.5000 0.0000 0.5594  2 Cu 2.68